Density functional theory data (PBE+U) for VSeI2O after structural relaxation.

Properties
Symmetry: P4/mmm (123)
Crystal system: tetragonal
E: -3.919 eV/atom

Cell: 5.622 5.622 3.676 Å, 90.00 90.00 90.00°
Positions (direct):
1 V 0.000 0.000 0.000
2 Se 0.500 0.500 0.500
3 I 0.000 0.500 0.000
4 I 0.500 0.000 0.000
5 O 0.000 0.000 0.500